(1)
CdHg2N: optimized geometry, GGA-PBE.

## Properties
Space group: No. 122
Distance to the lowest polymorph of the same formula, kJ/mol of formula units: 0.0
E_form (uncorrected), meV per atom: 740

Structure (POSCAR):
```
CdHg2N
1.0
6.2854 0.0000 0.0000
0.0000 6.2854 0.0000
3.1427 3.1427 5.3007
Cd N Hg
2 2 4
Cartesian
0.0000 0.0000 0.0000
6.2854 3.1427 2.6504
3.1427 3.1427 0.0000
3.1427 6.2854 2.6504
2.3262 4.7141 1.3252
4.7141 5.4689 3.9755
3.9592 1.5714 1.3252
7.8568 7.1020 3.9755
```

---

(2)
Tb4Cd2In: optimized geometry, GGA-PBE.

## Properties
Space group: No. 166
Distance to the lowest polymorph of the same formula, kJ/mol of formula units: 110.0
Energy of formation, kJ per mole of atoms: -3

Structure (POSCAR):
```
Tb4Cd2In
1.0
-0.7594 -2.8075 -4.2049
3.4348 -3.5300 -1.3717
-3.7891 -8.7063 3.3889
Cd Tb In
2 4 1
Cartesian
1.2996 -8.2755 -4.0343
-2.4133 -6.7684 1.8466
1.1615 -5.1013 -3.0204
-0.1857 -10.3679 -2.3690
-2.2752 -9.9426 0.8326
-0.9280 -4.6759 0.1813
0.0000 0.0000 0.0000
```